# 1
A relaxed Cs2PmSbS4 crystal, computed with PBE-GGA.

Results
final energy = -36.31 eV per formula unit

a = 8.826 Å, b = 8.826 Å, c = 8.780 Å
α = 119.83°, β = 119.83°, γ = 89.97°
Sites, in units of the cell vectors:
Sb (0.000, 0.000, 0.000)
Sb (0.500, 0.500, 0.500)
Cs (0.500, 0.000, 0.500)
Cs (0.500, 0.000, 0.000)
Cs (0.000, 0.000, 0.500)
Cs (0.500, 0.500, 0.000)
S (0.230, 0.270, 0.458)
S (0.186, 0.731, 0.959)
S (0.231, 0.686, 0.459)
S (0.770, 0.730, 0.958)
S (0.814, 0.269, 0.041)
S (0.230, 0.270, 0.042)
S (0.770, 0.730, 0.542)
S (0.769, 0.314, 0.541)
Pm (0.000, 0.500, 0.000)
Pm (0.000, 0.500, 0.500)

# 2
A relaxed HoCd9Ni3 crystal, computed with PBE-GGA.

Results
E_form = -0.07 eV/atom

a = 5.488 Å, b = 7.237 Å, c = 7.374 Å
α = 82.03°, β = 68.16°, γ = 68.12°
Sites, in units of the cell vectors:
Cd (0.992, 0.675, 0.348)
Cd (0.482, 0.789, 0.222)
Cd (0.518, 0.211, 0.778)
Cd (0.296, 0.211, 0.222)
Cd (0.008, 0.325, 0.652)
Cd (0.000, 0.500, 0.000)
Cd (0.704, 0.789, 0.778)
Cd (0.340, 0.675, 0.652)
Cd (0.660, 0.325, 0.348)
Ni (0.500, 0.000, 0.500)
Ni (0.000, 0.000, 0.500)
Ni (0.500, 0.500, 0.000)
Ho (0.000, 0.000, 0.000)

# 3
A relaxed K2RbSc crystal, computed with PBE-GGA.

Results
relative energy among the computed polymorphs = 0.000 eV per atom
E_form = 0.62 eV/atom

a = 6.853 Å, b = 6.853 Å, c = 6.853 Å
α = 60.00°, β = 60.00°, γ = 60.00°
Last column: magnetic moment on the atom in μB.
Sites, in units of the cell vectors:
K (0.250, 0.250, 0.250)  0.01
K (0.750, 0.750, 0.750)  0.01
Sc (0.000, 0.000, 0.000)  0.88
Rb (0.500, 0.500, 0.500)  0.01

# 4
A relaxed LaTb3Tm4 crystal, computed with PBE-GGA.

Results
relative energy among the computed polymorphs = 0.000 eV per atom
E_form = 0.02 eV/atom

a = 6.251 Å, b = 7.257 Å, c = 11.297 Å
α = 90.00°, β = 90.00°, γ = 90.00°
Sites, in units of the cell vectors:
Tm (0.482, 0.878, 0.752)
Tm (0.648, 0.122, 0.500)
Tm (0.147, 0.880, 0.500)
Tm (0.982, 0.122, 0.748)
Tm (0.482, 0.878, 0.248)
Tm (0.148, 0.878, 0.000)
Tm (0.982, 0.122, 0.252)
Tm (0.647, 0.120, 0.000)
Tb (0.482, 0.371, 0.751)
Tb (0.982, 0.629, 0.251)
Tb (0.982, 0.629, 0.749)
Tb (0.482, 0.371, 0.249)
Tb (0.147, 0.371, 0.500)
Tb (0.647, 0.629, 0.000)
La (0.144, 0.374, 0.000)
La (0.644, 0.626, 0.500)

# 5
A relaxed LiTl2Bi crystal, computed with PBE-GGA.

Results
E_form = -0.11 eV/atom

a = 4.856 Å, b = 4.793 Å, c = 4.793 Å
α = 90.00°, β = 90.00°, γ = 90.00°
Sites, in units of the cell vectors:
Bi (0.500, 0.500, 0.500)
Tl (0.000, 0.500, 0.000)
Tl (0.000, 0.000, 0.500)
Li (0.500, 0.000, 0.000)

# 6
A relaxed CdInIr crystal, computed with PBE-GGA.

Results
E_form = -0.11 eV/atom

a = 6.637 Å, b = 5.994 Å, c = 6.610 Å
α = 90.00°, β = 90.00°, γ = 90.00°
Sites, in units of the cell vectors:
Ir (0.500, 0.768, 0.564)
Ir (0.000, 0.268, 0.064)
Ir (0.000, 0.732, 0.064)
Ir (0.500, 0.232, 0.564)
In (0.244, 0.000, 0.304)
In (0.256, 0.500, 0.804)
In (0.744, 0.500, 0.804)
In (0.756, 0.000, 0.304)
Cd (0.259, 0.500, 0.319)
Cd (0.741, 0.500, 0.319)
Cd (0.241, 0.000, 0.819)
Cd (0.759, 0.000, 0.819)

Number 1: total moment 0.00 μB per formula unit. Number 2: total moment 0.00 μB per formula unit. Number 3: total moment 1.75 μB per formula unit. Number 4: total moment 0.03 μB per formula unit. Number 5: total moment 0.00 μB per formula unit. Number 6: total moment 0.00 μB per formula unit.